The following is a DFT calculation (PBEsol) of an optimized crystal structure of FeSeCl2.

Calculated values
- formation energy from raw total energies (eV/f.u.) = 0.05
- crystal system = orthorhombic
- volume (Å³ per atom) = 20.79
- raw total energy (Ry per atom) = -0.30839
- offset from the most stable computed form (meV/atom) = 56

Cell lengths 2.9308, 5.7989, 9.7882 Å; angles 90.00, 90.00, 90.00 degrees
Last column: nearest neighbours and their distance in Å.
Space group Cmmm (No. 65)
Unique sites:
Fe  0.0000  0.0000  0.0000 [2 per cell]  4 Cl 2.22
Se  0.0000  0.0000  0.5000 [2 per cell]  6 Se 2.93-3.25
Cl  0.0000  0.5000  0.1702 [4 per cell]  2 Fe 2.22